Below is a geometry-optimized CaCeMg2 structure, with properties calculated at the PBE-GGA level.

As for the formation energy: 0.06 eV per formula unit. The size of the total moment comes out at 1.3 μB/f.u. The calculation puts the final energy at -2.77 eV per atom. The energy above the lowest structure with this stoichiometry is 0 meV per atom.

It has space group P4/mmm (No. 123), with a = 5.658 Å, b = 5.658 Å, c = 3.707 Å, α = 90.00°, β = 90.00° and γ = 90.00°. The inequivalent atoms are Ca at (0.000, 0.000, 0.000), Ce at (0.500, 0.500, 0.000) and Mg at (0.000, 0.500, 0.500).

Below is a geometry-optimized HoZr2Al9 structure, with properties calculated at the PBE-GGA level.

As for the formation energy: -3.92 eV per formula unit. The size of the total moment comes out at 0.0 μB/f.u. The calculation puts the final energy at -4.94 eV per atom.

It has space group R-3m (No. 166, hexagonal axes), with a = 5.3679 Å, b = 5.3679 Å, c = 26.3394 Å, α = 90.00°, β = 90.00° and γ = 120.00°. The inequivalent atoms are Ho at (0.0000, 0.0000, 0.0000), Zr at (0.0000, 0.0000, 0.1442), Al at (0.0000, 0.0000, 0.3340), Al at (0.0000, 0.0000, 0.5000) and Al at (0.0063, 0.5031, 0.9134).

Below is a geometry-optimized Be2CoAu structure, with properties calculated at the PBE-GGA level.

As for the formation energy: -0.41 eV per formula unit. The size of the total moment comes out at 0.4 μB/f.u. The calculation puts the final energy at -4.56 eV per atom.

It has space group Amm2 (No. 38), with a = 3.616 Å, b = 2.817 Å, c = 8.602 Å, α = 90.00°, β = 90.00° and γ = 90.00°. The inequivalent atoms are Be at (0.000, 0.000, 0.000), Be at (0.500, 0.000, 0.148), Co at (0.000, 0.000, 0.707) and Au at (0.500, 0.000, 0.413).